Entry 1:
Here is an optimized crystal structure of PmNdTh4 from Alexandria via LeMat-Bulk. Energies are from PBE.

Calculated values
M_tot in μB/atom: 0.000
DFT formation energy in meV per atom: 56
Offset from the most stable computed form in meV/atom: 0
Crystal system: orthorhombic

Lattice parameters (Å, degrees): 5.058 15.379 5.091 90.00 90.00 90.00
Space group Cmmm (No. 65)
Unique sites:
Pm (0.000, 0.000, 0.000) (multiplicity 2)
Nd (0.000, 0.500, 0.500) (multiplicity 2)
Th (0.000, 0.170, 0.500) (multiplicity 4)
Th (0.000, 0.330, 0.000) (multiplicity 4)

***

Entry 2:
Here is an optimized crystal structure of PrInSn from Alexandria via LeMat-Bulk. Energies are from PBE.

Calculated values
M_tot in μB/atom: 0.000
DFT formation energy in meV per atom: -418
Offset from the most stable computed form in meV/atom: 102
Crystal system: orthorhombic

Lattice parameters (Å, degrees): 6.115 8.663 6.529 90.00 90.00 90.00
Space group Cmcm (No. 63)
Unique sites:
Pr (0.000, 0.172, 0.250) (multiplicity 4)
In (0.000, 0.195, 0.750) (multiplicity 4)
Sn (0.000, 0.500, 0.000) (multiplicity 4)

***

Entry 3:
Here is an optimized crystal structure of Ac12Os5Pb from Alexandria via LeMat-Bulk. Energies are from PBE.

Calculated values
M_tot in μB/atom: 0.000
DFT formation energy in meV per atom: -62
Crystal system: orthorhombic

Lattice parameters (Å, degrees): 10.253 10.492 11.133 90.00 90.00 90.00
Space group Immm (No. 71)
Unique sites:
Ac (0.000, 0.188, 0.224) (multiplicity 8)
Ac (0.180, 0.500, 0.171) (multiplicity 8)
Ac (0.222, 0.321, 0.500) (multiplicity 8)
Os (0.000, 0.000, 0.000) (multiplicity 2)
Os (0.000, 0.336, 0.000) (multiplicity 4)
Os (0.000, 0.500, 0.389) (multiplicity 4)
Pb (0.000, 0.000, 0.500) (multiplicity 2)

***

Entry 4:
Here is an optimized crystal structure of Ti2Al4Zn from Alexandria via LeMat-Bulk. Energies are from PBE.

Calculated values
M_tot in μB/atom: 0.000
DFT formation energy in meV per atom: 484
Crystal system: tetragonal

Lattice parameters (Å, degrees): 4.653 4.653 13.184 90.00 90.00 90.00
Space group I4/mmm (No. 139)
Unique sites:
Ti (0.000, 0.000, 0.108) (multiplicity 4)
Al (0.000, 0.000, 0.313) (multiplicity 4)
Al (0.000, 0.500, 0.000) (multiplicity 4)
Zn (0.000, 0.000, 0.500) (multiplicity 2)

***

Entry 5:
Here is an optimized crystal structure of Be2InAs from Alexandria via LeMat-Bulk. Energies are from PBE.

Calculated values
M_tot in μB/atom: 0.000
DFT formation energy in meV per atom: 586
Offset from the most stable computed form in meV/atom: 344
Crystal system: tetragonal

Lattice parameters (Å, degrees): 3.654 3.654 9.570 90.00 90.00 90.00
Space group I-4m2 (No. 119)
Unique sites:
Be (0.000, 0.000, 0.000) (multiplicity 2)
Be (0.000, 0.500, 0.250) (multiplicity 2)
In (0.000, 0.500, 0.750) (multiplicity 2)
As (0.000, 0.000, 0.500) (multiplicity 2)

***

Entry 6:
Here is an optimized crystal structure of CaDyRh2 from Alexandria via LeMat-Bulk. Energies are from PBE.

Calculated values
M_tot in μB/atom: 0.000
DFT formation energy in meV per atom: -650
Offset from the most stable computed form in meV/atom: 0
Crystal system: tetragonal

Lattice parameters (Å, degrees): 3.419 3.419 6.900 90.00 90.00 90.00
Space group P4/mmm (No. 123)
Unique sites:
Ca (0.000, 0.000, 0.000) (multiplicity 1)
Dy (0.000, 0.000, 0.500) (multiplicity 1)
Rh (0.500, 0.500, 0.267) (multiplicity 2)

***

Entry 7:
Here is an optimized crystal structure of HS from Alexandria via LeMat-Bulk. Energies are from PBE.

Calculated values
M_tot in μB/atom: 0.000
Offset from the most stable computed form in meV/atom: 551
Crystal system: tetragonal

Lattice parameters (Å, degrees): 8.780 8.780 2.964 90.00 90.00 90.00
Space group P4/m (No. 83)
Unique sites:
H (0.032, 0.255, 0.000) (multiplicity 4)
H (0.283, 0.608, 0.500) (multiplicity 4)
S (0.042, 0.757, 0.500) (multiplicity 4)
S (0.206, 0.597, 0.000) (multiplicity 4)

***

Entry 8:
Here is an optimized crystal structure of Sm2Ga2Tc2C from Alexandria via LeMat-Bulk. Energies are from PBE.

Calculated values
M_tot in μB/atom: 0.000
DFT formation energy in meV per atom: -477
Crystal system: monoclinic

Lattice parameters (Å, degrees): 11.164 3.791 7.440 90.00 124.56 90.00
Space group C2/m (No. 12)
Unique sites:
Sm (0.072, 0.000, 0.290) (multiplicity 4)
Ga (0.137, 0.500, 0.666) (multiplicity 4)
Tc (0.197, 0.500, 0.066) (multiplicity 4)
C (0.000, 0.500, 0.000) (multiplicity 2)

***

Entry 9:
Here is an optimized crystal structure of Zn2CdAs from Alexandria via LeMat-Bulk. Energies are from PBE.

Calculated values
M_tot in μB/atom: 0.000
DFT formation energy in meV per atom: 152
Offset from the most stable computed form in meV/atom: 77
Crystal system: orthorhombic

Lattice parameters (Å, degrees): 4.181 4.230 8.447 90.00 90.00 90.00
Space group Immm (No. 71)
Unique sites:
Zn (0.000, 0.000, 0.249) (multiplicity 4)
Cd (0.000, 0.500, 0.000) (multiplicity 2)
As (0.000, 0.500, 0.500) (multiplicity 2)

***

Entry 10:
Here is an optimized crystal structure of CsPdBr3 from Alexandria via LeMat-Bulk. Energies are from PBE.

Calculated values
E_form (uncorrected) in eV per atom: -0.790
M_tot in μB/atom: 0.175
Crystal system: monoclinic

Lattice parameters (Å, degrees): 19.935 5.287 8.299 90.00 113.32 90.00
Space group C2/m (No. 12)
Unique sites:
Cs (0.106, 0.000, 0.290) (multiplicity 4)
Pd (0.178, 0.500, 0.901) (multiplicity 4)
Br (0.047, 0.500, 0.850) (multiplicity 4)
Br (0.183, 0.000, 0.933) (multiplicity 4)
Br (0.189, 0.500, 0.595) (multiplicity 4)

***

Entry 11:
Here is an optimized crystal structure of Sc8Fe2Tc from Alexandria via LeMat-Bulk. Energies are from PBE.

Calculated values
M_tot in μB/atom: 0.172
DFT formation energy in meV per atom: 24
Crystal system: monoclinic

Lattice parameters (Å, degrees): 9.765 6.502 7.464 90.00 106.67 90.00
Space group C2/m (No. 12)
Unique sites:
Sc (0.032, 0.247, 0.270) (multiplicity 8)
Sc (0.202, 0.000, 0.616) (multiplicity 4)
Sc (0.230, 0.000, 0.054) (multiplicity 4)
Fe (0.128, 0.500, 0.579) (multiplicity 4)
Tc (0.000, 0.500, 0.000) (multiplicity 2)

***

Entry 12:
Here is an optimized crystal structure of NiI2BrN from Alexandria via LeMat-Bulk. Energies are from PBE.

Calculated values
E_form (uncorrected) in eV per atom: 0.652
M_tot in μB/atom: 0.000
Offset from the most stable computed form in meV/atom: 0
Crystal system: tetragonal

Lattice parameters (Å, degrees): 5.880 5.880 3.422 90.00 90.00 90.00
Space group P4/mmm (No. 123)
Unique sites:
Ni (0.000, 0.000, 0.000) (multiplicity 1)
I (0.000, 0.500, 0.000) (multiplicity 2)
Br (0.500, 0.500, 0.500) (multiplicity 1)
N (0.000, 0.000, 0.500) (multiplicity 1)

***

Question: M_tot of number 1 (PmNdTh4)?
Answer: 0.000 μB/atom

***

Copy entry 7 word for word.
Here is an optimized crystal structure of HS from Alexandria via LeMat-Bulk. Energies are from PBE.

Calculated values
M_tot in μB/atom: 0.000
Offset from the most stable computed form in meV/atom: 551
Crystal system: tetragonal

Lattice parameters (Å, degrees): 8.780 8.780 2.964 90.00 90.00 90.00
Space group P4/m (No. 83)
Unique sites:
H (0.032, 0.255, 0.000) (multiplicity 4)
H (0.283, 0.608, 0.500) (multiplicity 4)
S (0.042, 0.757, 0.500) (multiplicity 4)
S (0.206, 0.597, 0.000) (multiplicity 4)